GGA-PBE SrLa2Sm3Te6, relaxed; DFT total energy = -5.218 eV/atom; ΔE_f (raw) = -18.076 eV/f.u.
1.0
-1.6106 4.0527 1.1500
2.4374 -1.4870 8.6537
8.7961 2.2611 -4.4933
La Sm Sr Te
2 3 1 6
Direct
0.1697 0.3382 0.3394
0.8303 0.6618 0.6606
0.8333 0.1744 0.6666
0.1667 0.8256 0.3334
0.5000 0.5000 0.0000
0.5000 0.0000 0.0000
0.9992 0.2567 0.9985
0.6630 0.5862 0.3260
0.6691 0.0761 0.3383
0.0008 0.7433 0.0015
0.3309 0.9239 0.6617
0.3370 0.4138 0.6740


GGA-PBE BaEuAl2, relaxed; DFT total energy = -5.055 eV/atom
1.0
4.0281 0.0000 0.0000
0.0000 4.0281 0.0000
0.0000 0.0000 7.7273
Al Ba Eu
2 1 1
Direct
0.0000 0.0000 0.8036
0.0000 0.0000 0.1964
0.5000 0.5000 0.5000
0.5000 0.5000 0.0000


GGA-PBE BeAg2SnO4, relaxed; DFT total energy = -5.336 eV/atom; ΔE_f (raw) = -9.423 eV/f.u.
1.0
-4.7265 -0.3880 -1.8713
-1.7196 -1.3199 4.6159
2.5445 4.8394 -0.4849
Sn Ag O Be
1 2 4 1
Direct
0.9858 0.4859 0.9717
0.4859 0.9861 0.9719
0.2358 0.2357 0.4715
0.6913 0.6253 0.6942
0.4028 0.7804 0.2493
0.0028 0.0689 0.6941
0.8466 0.4690 0.2495
0.7360 0.7359 0.4719


GGA-PBE K2HfRe3O12, relaxed; DFT total energy = -8.000 eV/atom; ΔE_f (raw) = -35.013 eV/f.u.
1.0
-5.4438 1.0042 4.9385
-4.4648 -5.6093 1.9060
0.4093 -3.0372 6.7557
O Hf K Re
12 1 2 3
Direct
0.9298 0.3100 0.3100
0.6900 0.6900 0.0702
0.9354 0.3295 0.9354
0.3100 0.3100 0.9298
0.0646 0.6705 0.0646
0.0646 0.0646 0.6705
0.6705 0.0646 0.0646
0.9354 0.9354 0.3295
0.6900 0.0702 0.6900
0.0702 0.6900 0.6900
0.3100 0.9298 0.3100
0.3295 0.9354 0.9354
0.0000 0.0000 0.0000
0.3923 0.3923 0.3923
0.6077 0.6077 0.6077
0.0000 0.5000 0.0000
0.0000 0.0000 0.5000
0.5000 0.0000 0.0000